# Pm3Y3Ge4

Pm3Y3Ge4 after structural relaxation (PBE, Alexandria).

Cell: 4.3475 7.6764 7.6764 Å, 90.14 90.00 90.00°
Fractional positions:
Pm 0.0000 0.0000 0.0000
Pm 0.0000 0.4973 0.8457
Pm 0.0000 0.8457 0.4973
Y 0.0000 0.3463 0.3463
Y 0.5000 0.1722 0.6733
Y 0.5000 0.6733 0.1722
Ge 0.5000 0.0534 0.2973
Ge 0.5000 0.2973 0.0534
Ge 0.5000 0.5456 0.5456
Ge 0.5000 0.7948 0.7948

Its energy is -60.1 eV per cell. Its density of states at the Fermi level is 8.98 states/eV/f.u. Its formation enthalpy at 0 K is -77.2 kJ per mole of atoms. As for the space-group type: Amm2.